The following is a PBE calculation of an optimized crystal structure of TmGe2Pd4, from the Alexandria database.

- polymorph energy (0 for the lowest one) (kJ per mole of atoms) = 0.0
- crystal system = tetragonal
- electronic total energy (eV per atom) = -5.627
- calculated formation energy (eV per atom) = -0.701
- total magnetic moment (μB/atom) = 0.0000
- DOS at the Fermi energy (states/eV/f.u.) = 3.9
- volume (Å³ per atom) = 17.26

a = 3.8252 Å, b = 7.9484 Å, c = 7.9484 Å
α = 90.00°, β = 90.00°, γ = 90.00°
Positions (direct):
Tm 0.5000 0.0000 0.0000
Tm 0.0000 0.5000 0.5000
Ge 0.5000 0.2765 0.2765
Ge 0.0000 0.7765 0.2235
Ge 0.0000 0.2235 0.7765
Ge 0.5000 0.7235 0.7235
Pd 0.5000 0.8231 0.4251
Pd 0.0000 0.3231 0.0749
Pd 0.0000 0.6769 0.9251
Pd 0.0000 0.0749 0.3231
Pd 0.5000 0.5749 0.1769
Pd 0.5000 0.1769 0.5749
Pd 0.5000 0.4251 0.8231
Pd 0.0000 0.9251 0.6769